Density functional theory data (PBE-GGA) for TbHoBiSe after structural relaxation.

Summary:
The formation energy without anion corrections is -4.94 eV/f.u. Its calculated total energy is -5.378 eV/atom. The space-group type is R3m, No. 160.

Unit cell a=7.6850 b=7.6850 c=7.6850 alpha=31.80 beta=31.80 gamma=31.80
Closest atoms and distances in Å follow each position.
Fractional positions:
Tb: 0.0000 0.0000 0.0000  3 Se 2.99, 3 Bi 3.16
Ho: 0.8168 0.8168 0.8168  3 Se 2.88, 3 Bi 3.14
Bi: 0.2409 0.2409 0.2409  3 Ho 3.14, 3 Tb 3.16
Se: 0.4126 0.4126 0.4126  3 Ho 2.88, 3 Tb 2.99